Entry from Alexandria via LeMat-Bulk: crystalline BBrF2 at its relaxed geometry (GGA-PBE).

V: 118 Å³ per cell
Raw formation energy: -193.5 kJ per mole of atoms
SG: Imm2

Unit cell a=5.500 b=5.420 c=5.420 alpha=67.22 beta=59.51 gamma=59.51
Positions (direct):
B1 0.000 0.627 0.373
Br1 0.000 0.945 0.055
F1 0.159 0.354 0.327
F2 0.841 0.673 0.646



Entry from Alexandria via LeMat-Bulk: crystalline TaV2Cr at its relaxed geometry (GGA-PBE).

ΔH_f (0 K): 11 meV per atom
V: 57 Å³ per cell
SG: P4/mmm

Unit cell a=3.008 b=3.008 c=6.276 alpha=90.00 beta=90.00 gamma=90.00
Positions (direct):
Cr1 0.500 0.500 0.000
V1 0.000 0.000 0.775
V2 0.000 0.000 0.225
Ta1 0.500 0.500 0.500



Entry from Alexandria via LeMat-Bulk: crystalline Rb2LaUTe4 at its relaxed geometry (GGA-PBE).

V: 322 Å³ per cell
Raw formation energy: -110.9 kJ per mole of atoms
SG: P2/m

Unit cell a=4.660 b=8.081 c=8.977 alpha=107.49 beta=90.00 gamma=90.00
Last column: magnetic moment on the atom in μB.
Positions (direct):
Rb1 0.500 0.000 0.500  0.00
Rb2 0.000 0.500 0.500  0.00
La1 0.500 0.500 0.000  0.05
U1 0.000 0.000 0.000  2.78
Te1 0.500 0.227 0.202  -0.04
Te2 0.500 0.773 0.798  -0.04
Te3 0.000 0.258 0.794  -0.02
Te4 0.000 0.742 0.206  -0.02



Which of these has the highest V?
Rb2LaUTe4